Material: ZnRu4C2
Method: DFT, PBE
State: relaxed

Values from the calculation:
Magnetization ... 0.47 μB/atom
SG ... I4/mmm
Energy of formation from the pure elements ... 1.416 eV per atom
E_tot ... -6.702 eV per atom

Geometry as POSCAR:
```
ZnRu4C2
1.0
4.513 0.000 0.000
0.000 4.513 0.000
2.256 2.256 5.052
Ru Zn C
4 1 2
direct
0.750 0.750 0.501
0.250 0.250 0.499
0.000 0.500 0.000
0.500 0.000 0.000
0.000 0.000 0.000
0.568 0.568 0.863
0.432 0.432 0.137
```